# 1
The following is a DFT calculation (PBE) of a geometry-optimized ZrTlCdHg structure.

Geometry as POSCAR:
```
ZrTlCdHg
1.0
5.065 0.000 0.000
2.532 4.386 0.000
2.532 1.462 4.135
Zr Tl Cd Hg
1 1 1 1
direct
0.750 0.750 0.750 Zr
0.000 0.000 0.000 Tl
0.250 0.250 0.250 Cd
0.500 0.500 0.500 Hg
```

Results
formation energy: 0.140 eV/atom
relative energy among the computed polymorphs: 218 meV per atom
density of states at the Fermi level: 2.998 states/eV/cell



# 2
The following is a DFT calculation (PBE) of a geometry-optimized Tm3CdHg7 structure.

Geometry as POSCAR:
```
Tm3CdHg7
1.0
3.520 0.000 0.000
-1.760 16.548 0.000
0.000 0.000 11.133
Hg Tm Cd
14 6 2
direct
0.370 0.739 0.054 Hg
0.486 0.972 0.124 Hg
0.727 0.454 0.919 Hg
0.514 0.028 0.624 Hg
0.630 0.261 0.946 Hg
0.393 0.785 0.750 Hg
0.273 0.546 0.419 Hg
0.486 0.972 0.376 Hg
0.727 0.454 0.581 Hg
0.630 0.261 0.554 Hg
0.607 0.215 0.250 Hg
0.370 0.739 0.446 Hg
0.273 0.546 0.081 Hg
0.514 0.028 0.876 Hg
0.937 0.873 0.564 Tm
0.937 0.873 0.936 Tm
0.823 0.647 0.250 Tm
0.063 0.127 0.436 Tm
0.177 0.353 0.750 Tm
0.063 0.127 0.064 Tm
0.080 0.160 0.750 Cd
0.920 0.840 0.250 Cd
```

Results
formation energy: -0.158 eV/atom
density of states at the Fermi level: 14.552 states/eV/cell